DFT (GGA+U) results for a relaxed V2CoO6 crystal.

Summary:
Symmetry: P1, No. 1
DFT total energy (eV per atom): -6.93

Unit cell a=5.740 b=7.968 c=14.841 alpha=158.62 beta=31.05 gamma=155.01
Sites, in units of the cell vectors:
V1 0.565 0.933 0.976
V2 0.817 0.077 0.420
Co1 0.514 0.733 0.689
O1 0.931 0.599 0.730
O2 0.255 0.390 0.328
O3 0.339 0.075 0.326
O4 0.208 0.539 0.125
O5 0.292 0.272 0.648
O6 0.828 0.384 0.006